## GeBiTe2 (GGA-PBE)

Data for a geometry-optimized GeBiTe2 structure.

Calculated values
- relative energy among the computed polymorphs (meV per atom) = 209
- raw total energy (eV/atom) = -3.505
- magnetization (μB/atom) = 0.000
- V (Å³/atom) = 42.20
- ΔE_f (raw) (eV/f.u.) = 0.761

The structure in POSCAR format:
```
GeBiTe2
1.0
6.962 0.000 0.000
0.000 6.962 0.000
3.481 3.481 6.965
Ge Te Bi
2 4 2
Cartesian
3.481 3.481 0.000
3.481 6.962 3.483
5.053 1.740 1.741
1.909 5.221 1.741
5.221 5.390 5.224
8.702 8.533 5.224
0.000 0.000 0.000
6.962 3.481 3.483
```